Record 1
Ti2NbPt3: optimized geometry, PBE.

The density of states at the Fermi level comes out at 5.52 states/eV/f.u. The formation enthalpy at 0 K comes out at -79.7 kJ per mole of atoms.

a = 3.992 Å, b = 7.464 Å, c = 7.464 Å
α = 106.82°, β = 105.51°, γ = 105.51°
Atoms (fractional coordinates):
Ti: 0.250 0.086 0.914
Ti: 0.250 0.744 0.256
Ti: 0.750 0.914 0.086
Ti: 0.750 0.256 0.744
Nb: 0.250 0.420 0.580
Nb: 0.750 0.580 0.420
Pt: 0.510 0.844 0.675
Pt: 0.010 0.675 0.844
Pt: 0.500 0.500 0.000
Pt: 0.490 0.156 0.325
Pt: 0.000 0.000 0.500
Pt: 0.990 0.325 0.156

---

Record 2
CuSnSb2H: optimized geometry, PBE.

The density of states at the Fermi level comes out at 1.91 states/eV/f.u. The total energy is -3.430 eV/atom.

a = 4.693 Å, b = 4.599 Å, c = 4.693 Å
α = 90.00°, β = 90.00°, γ = 90.00°
Atoms (fractional coordinates):
Sb: 0.000 0.000 0.500
Sb: 0.500 0.000 0.000
Sn: 0.000 0.500 0.000
Cu: 0.500 0.500 0.500
H: 0.000 0.000 0.000

---

Record 3
EuHoP: optimized geometry, PBE.

The density of states at the Fermi level comes out at 9.26 states/eV/f.u. The formation enthalpy at 0 K comes out at -85.1 kJ per mole of atoms.

a = 6.718 Å, b = 4.001 Å, c = 4.001 Å
α = 120.00°, β = 90.00°, γ = 90.00°
Atoms (fractional coordinates):
Eu: 0.749 0.667 0.333
P: 0.018 0.000 0.000
Ho: 0.233 0.333 0.667

---

Record 4
MnTl4Cl6: optimized geometry, PBE.

The density of states at the Fermi level comes out at 0.00 states/eV/f.u. The total energy is -3.737 eV/atom.

a = 8.561 Å, b = 8.561 Å, c = 9.174 Å
α = 90.00°, β = 90.00°, γ = 90.00°
Atoms (fractional coordinates):
Mn: 0.500 0.500 0.000
Mn: 0.000 0.000 0.500
Tl: 0.342 0.158 0.250
Tl: 0.158 0.658 0.750
Tl: 0.658 0.842 0.750
Tl: 0.842 0.342 0.750
Tl: 0.342 0.158 0.750
Tl: 0.158 0.658 0.250
Tl: 0.842 0.342 0.250
Tl: 0.658 0.842 0.250
Cl: 0.280 0.877 0.500
Cl: 0.780 0.623 0.000
Cl: 0.623 0.220 0.000
Cl: 0.123 0.280 0.500
Cl: 0.000 0.000 0.228
Cl: 0.500 0.500 0.272
Cl: 0.377 0.780 0.000
Cl: 0.000 0.000 0.772
Cl: 0.220 0.377 0.000
Cl: 0.500 0.500 0.728
Cl: 0.877 0.720 0.500
Cl: 0.720 0.123 0.500

---

Record 5
V2AgPtRh: optimized geometry, PBE.

The density of states at the Fermi level comes out at 7.38 states/eV/f.u. The formation enthalpy at 0 K comes out at 174.3 kJ per mole of atoms.

a = 4.567 Å, b = 4.789 Å, c = 4.567 Å
α = 90.00°, β = 90.00°, γ = 90.00°
Atoms (fractional coordinates):
Rh: 0.500 0.500 0.500
Ag: 0.000 0.000 0.000
Pt: 0.000 0.500 0.000
V: 0.000 0.000 0.500
V: 0.500 0.000 0.000

---

Record 6
Ac2Zn2Cu3: optimized geometry, PBE.

The density of states at the Fermi level comes out at 4.59 states/eV/f.u. The formation enthalpy at 0 K comes out at -15.4 kJ per mole of atoms.

a = 4.467 Å, b = 5.853 Å, c = 6.715 Å
α = 108.41°, β = 90.00°, γ = 112.43°
Atoms (fractional coordinates):
Ac: 0.861 0.722 0.224
Ac: 0.139 0.278 0.776
Zn: 0.832 0.664 0.703
Zn: 0.168 0.336 0.297
Cu: 0.500 0.000 0.000
Cu: 0.591 0.182 0.404
Cu: 0.409 0.818 0.596

---

Record 7
AcPr2DyTm5: optimized geometry, PBE.

The density of states at the Fermi level comes out at 9.46 states/eV/f.u. The formation enthalpy at 0 K comes out at 25.1 kJ per mole of atoms.

a = 8.800 Å, b = 8.800 Å, c = 9.961 Å
α = 116.22°, β = 116.22°, γ = 90.00°
Atoms (fractional coordinates):
Ac: 0.250 0.250 0.500
Ac: 0.750 0.750 0.500
Pr: 0.117 0.383 0.000
Pr: 0.617 0.117 0.000
Pr: 0.383 0.883 0.000
Pr: 0.883 0.617 0.000
Dy: 0.250 0.750 0.500
Dy: 0.750 0.250 0.500
Tm: 0.926 0.426 0.269
Tm: 0.657 0.157 0.731
Tm: 0.074 0.574 0.731
Tm: 0.157 0.074 0.731
Tm: 0.574 0.657 0.731
Tm: 0.843 0.926 0.269
Tm: 0.426 0.343 0.269
Tm: 0.343 0.843 0.269
Tm: 0.500 0.500 0.000
Tm: 0.000 0.000 0.000

---

Record 8
BeCr2ReGe: optimized geometry, PBE.

The density of states at the Fermi level comes out at 3.44 states/eV/f.u. The formation enthalpy at 0 K comes out at 118.5 kJ per mole of atoms.

a = 4.624 Å, b = 4.366 Å, c = 4.624 Å
α = 90.00°, β = 90.00°, γ = 90.00°
Atoms (fractional coordinates):
Re: 0.000 0.000 0.000
Ge: 0.500 0.500 0.500
Be: 0.000 0.500 0.000
Cr: 0.000 0.000 0.500
Cr: 0.500 0.000 0.000

---

Record 9
NbCrAs2: optimized geometry, PBE.

The density of states at the Fermi level comes out at 3.51 states/eV/f.u. Its energy above the most stable polymorph in this dataset is 33 meV per atom. The formation enthalpy at 0 K comes out at -10.8 kJ per mole of atoms.

a = 4.481 Å, b = 4.481 Å, c = 4.481 Å
α = 60.00°, β = 60.00°, γ = 60.00°
Atoms (fractional coordinates):
Cr: 0.000 0.000 0.000
Nb: 0.500 0.500 0.500
As: 0.250 0.250 0.250
As: 0.750 0.750 0.750

---

Record 10
AcNdPa: optimized geometry, PBE.

The density of states at the Fermi level comes out at 6.62 states/eV/f.u. The formation enthalpy at 0 K comes out at 60.5 kJ per mole of atoms.

a = 6.758 Å, b = 3.365 Å, c = 9.894 Å
α = 99.79°, β = 109.97°, γ = 90.00°
Atoms (fractional coordinates):
Pa: 0.647 0.147 0.295
Pa: 0.353 0.853 0.705
Ac: 0.748 0.500 0.000
Ac: 0.252 0.500 0.000
Nd: 0.181 0.681 0.362
Nd: 0.819 0.319 0.638

---

Record 11
Tb3Ho4Zn4: optimized geometry, PBE.

The density of states at the Fermi level comes out at 8.63 states/eV/f.u. The formation enthalpy at 0 K comes out at -12.8 kJ per mole of atoms.

a = 5.078 Å, b = 6.973 Å, c = 9.110 Å
α = 112.50°, β = 106.18°, γ = 90.00°
Atoms (fractional coordinates):
Tb: 0.102 0.102 0.205
Tb: 0.898 0.898 0.795
Tb: 0.000 0.500 0.000
Ho: 0.321 0.090 0.643
Ho: 0.679 0.447 0.357
Ho: 0.679 0.910 0.357
Ho: 0.321 0.553 0.643
Zn: 0.184 0.684 0.367
Zn: 0.816 0.316 0.633
Zn: 0.500 0.817 0.000
Zn: 0.500 0.183 0.000

---

Record 12
CeDyTlO2: optimized geometry, PBE.

The density of states at the Fermi level comes out at 2.82 states/eV/f.u. The total energy is -6.996 eV/atom.

a = 3.931 Å, b = 3.931 Å, c = 7.273 Å
α = 105.68°, β = 105.68°, γ = 90.00°
Atoms (fractional coordinates):
Ce: 0.162 0.162 0.324
Dy: 0.833 0.833 0.665
Tl: 0.504 0.504 0.007
O: 0.751 0.251 0.502
O: 0.251 0.751 0.502

---

Record 13
Cu2AgMo: optimized geometry, PBE.

The density of states at the Fermi level comes out at 3.22 states/eV/f.u. Its energy above the most stable polymorph in this dataset is 206 meV per atom. The formation enthalpy at 0 K comes out at 39.4 kJ per mole of atoms.

a = 4.569 Å, b = 4.569 Å, c = 5.158 Å
α = 83.07°, β = 83.07°, γ = 33.59°
Atoms (fractional coordinates):
Ag: 0.250 0.250 0.250
Cu: 0.001 0.001 0.981
Cu: 0.499 0.499 0.519
Mo: 0.750 0.750 0.750

---

Record 14
InTc2C: optimized geometry, PBE.

The density of states at the Fermi level comes out at 4.88 states/eV/f.u. Its energy above the most stable polymorph in this dataset is 635 meV per atom. The formation enthalpy at 0 K comes out at 144.8 kJ per mole of atoms.

a = 4.304 Å, b = 4.304 Å, c = 4.304 Å
α = 60.00°, β = 60.00°, γ = 60.00°
Atoms (fractional coordinates):
C: 0.000 0.000 0.000
Tc: 0.250 0.250 0.250
Tc: 0.750 0.750 0.750
In: 0.500 0.500 0.500

---

Record 15
HfH2Au2: optimized geometry, PBE.

The density of states at the Fermi level comes out at 0.94 states/eV/f.u. Its energy above the most stable polymorph in this dataset is 63 meV per atom.

a = 3.346 Å, b = 4.928 Å, c = 5.026 Å
α = 103.60°, β = 70.56°, γ = 70.15°
Atoms (fractional coordinates):
Hf: 0.000 0.000 0.000
H: 0.348 0.255 0.048
H: 0.652 0.745 0.952
Au: 0.530 0.291 0.649
Au: 0.470 0.709 0.351